Ac3NdTc | GGA-PBE | relaxed

```
Ac3NdTc
1.0
5.775 0.000 0.000
0.000 5.775 0.000
0.000 0.000 5.775
Ac Nd Tc
3 1 1
direct
0.000 0.000 0.500 Ac
0.000 0.500 0.000 Ac
0.500 0.000 0.000 Ac
0.500 0.500 0.500 Nd
0.000 0.000 0.000 Tc
```

Computed properties:
ρ: 7.96 g/cm3
DOS at the Fermi energy: 6.76 states/eV/cell
ΔE_f: 0.17 eV/atom